# BeOs2Pb

Crystalline BeOs2Pb at its relaxed geometry (PBE-GGA, Alexandria).

Summary:
E above lowest polymorph, eV per atom: 0.534
Space-group type: Cmm2 (35)
Total moment, μB per cell: 0.6

abc: 2.8980 2.8980 9.2890
angles: 90.00 90.00 119.26
Element x y z (fractional)
Be: 0.0000 0.0000 0.0000
Os: 0.0000 0.0000 0.4215
Os: 0.5000 0.5000 0.1898
Pb: 0.5000 0.5000 0.7094